Computed, not measured: an optimized crystal structure of PmSc2In3 at the PBE level of DFT.

abc: 3.620 3.620 11.194
angles: 90.00 90.00 90.00
Space group P4/mmm (No. 123)
Symmetry-distinct sites (fractional):
Pm 0.000 0.000 0.000 x1
Sc 0.000 0.000 0.345 x2
In 0.500 0.500 0.190 x2
In 0.500 0.500 0.500 x1

Summary:
- Theoretical density: 6.56 Mg/m³
- Magnetic moment: 0.00 μB/atom

Computed, not measured: an optimized crystal structure of PmSc2In2 at the PBE level of DFT.

abc: 4.493 4.493 26.917
angles: 90.00 90.00 90.00
Space group I4/mmm (No. 139)
Symmetry-distinct sites (fractional):
Pm 0.000 0.000 0.128 x4
Sc 0.000 0.000 0.428 x4
Sc 0.000 0.500 0.250 x4
In 0.000 0.000 0.324 x4
In 0.000 0.500 0.000 x4

Summary:
- Theoretical density: 5.68 Mg/m³
- Magnetic moment: 0.00 μB/atom

Listing calculated formation energy for the structures above in their given order: -442 -220 meV per atom.